Record 1
The following is a DFT calculation (PBE) of a relaxed Hf2In2Bi crystal.

## Properties
Magnetization, μB/atom: 0.000
Space-group type: P4/mbm, No. 127
DFT formation energy, meV/atom: 118
Energy above the lowest structure with this stoichiometry, meV per atom: 148

POSCAR file:
```
Hf2In2Bi
1.0
8.861 0.000 0.000
0.000 8.861 0.000
0.000 0.000 3.200
In Hf Bi
4 4 2
Direct
0.169 0.331 0.000
0.331 0.831 0.000
0.669 0.169 0.000
0.831 0.669 0.000
0.876 0.376 0.500
0.376 0.124 0.500
0.124 0.624 0.500
0.624 0.876 0.500
0.500 0.500 0.000
0.000 0.000 0.000
```

***

Record 2
The following is a DFT calculation (PBE) of a relaxed BaMn3Se crystal.

## Properties
Magnetization, μB/atom: 1.837
Space-group type: Pm-3m, No. 221
Energy above the lowest structure with this stoichiometry, meV per atom: 0
Formation energy without anion corrections, eV/atom: 0.44

POSCAR file:
```
BaMn3Se
1.0
4.818 0.000 0.000
0.000 4.818 0.000
0.000 0.000 4.818
Ba Mn Se
1 3 1
Direct
0.500 0.500 0.500
0.000 0.500 0.000
0.000 0.000 0.500
0.500 0.000 0.000
0.000 0.000 0.000
```

***

DFT total energy (computed, eV/atom): -5.735 -6.145